# Ti3PH meta-GGA SCAN PBEsol geometry
# polymorph energy (0 for the lowest one): 0 meV/atom
# electronic total energy: -13.04 eV per atom
# Fermi-level density of states: 0.8162 states/eV/atom
# symmetry: Pm-3m (221)
# ρ: 4.94 g/cm³
# spin magnetization: 0.000 μB per formula unit
data_Ti3PH
_cell_length_a 3.893
_cell_length_b 3.893
_cell_length_c 3.893
_cell_angle_alpha 90.00
_cell_angle_beta 90.00
_cell_angle_gamma 90.00
_space_group_name_H-M_alt 'P 1'
_space_group_IT_number 1
_space_group_name_Hall 'P 1'
loop_
_atom_site_label
_atom_site_fract_x
_atom_site_fract_y
_atom_site_fract_z
Ti1 0.000 0.000 0.500
Ti2 0.000 0.500 0.000
Ti3 0.500 0.000 0.000
H1 0.000 0.000 0.000
P1 0.500 0.500 0.500